The following is a PBE calculation of a relaxed structure of Dy5Ho3Tm3, from Alexandria via LeMat-Bulk.

Results
**DFT formation energy**: 3.98 eV/f.u.
**Final energy**: -4.1977 eV/atom

Geometry as POSCAR:
```
Dy5Ho3Tm3
1.0
10.9967 0.0000 0.0000
-5.4984 9.5235 0.0000
0.0000 0.0000 3.4056
Dy Ho Tm
5 3 3
Cartesian
-0.8817 1.5271 0.0000 Dy
1.7633 0.0000 0.0000 Dy
0.0000 6.3490 0.0000 Dy
5.4984 3.1745 0.0000 Dy
4.6167 7.9964 0.0000 Dy
-3.6211 6.2719 0.0000 Ho
1.8773 3.2516 0.0000 Ho
7.2421 0.0000 0.0000 Ho
-2.2354 3.8718 1.7028 Tm
4.4707 0.0000 1.7028 Tm
3.2630 5.6517 1.7028 Tm
```